Pm6NdSm3 | the Alexandria database | PBE | relaxed; E_tot = -92.10 eV per cell
1.0
5.523 -9.668 0.000
5.523 9.668 0.000
0.000 0.000 6.441
Pm Nd Sm
12 2 6
direct
0.035 0.965 0.500
0.056 0.472 0.986
0.280 0.720 0.714
0.290 0.372 0.807
0.372 0.290 0.307
0.472 0.056 0.486
0.528 0.944 0.986
0.628 0.710 0.807
0.710 0.628 0.307
0.720 0.280 0.214
0.944 0.528 0.486
0.965 0.035 0.000
0.191 0.809 0.252
0.809 0.191 0.752
0.058 0.292 0.400
0.292 0.058 0.900
0.384 0.616 0.274
0.616 0.384 0.774
0.708 0.942 0.400
0.942 0.708 0.900

***

PmNd2Sm3 | the Alexandria database | PBE | relaxed; E_tot = -56.75 eV per cell
1.0
7.299 0.000 0.000
-3.650 6.321 0.000
0.000 0.000 8.924
Pm Nd Sm
2 4 6
direct
0.333 0.667 0.165
0.667 0.333 0.835
0.000 0.000 0.500
0.000 0.500 0.500
0.500 0.000 0.500
0.500 0.500 0.500
0.167 0.333 0.835
0.167 0.833 0.835
0.333 0.167 0.165
0.667 0.833 0.835
0.833 0.167 0.165
0.833 0.667 0.165

***

PmNd2Sm4 | the Alexandria database | PBE | relaxed; E_tot = -32.85 eV per cell
1.0
8.566 -1.795 0.000
8.566 1.795 0.000
-4.413 0.000 7.822
Pm Nd Sm
1 2 4
direct
0.000 0.000 0.000
0.070 0.070 0.428
0.930 0.930 0.572
0.294 0.294 0.708
0.356 0.356 0.155
0.644 0.644 0.845
0.706 0.706 0.292

***

Pm4Nd5Sm2 | the Alexandria database | PBE | relaxed; E_tot = -51.29 eV per cell
1.0
9.032 0.000 0.000
0.000 3.562 0.000
-0.914 0.000 11.934
Pm Nd Sm
4 5 2
direct
0.155 0.000 0.395
0.296 0.000 0.951
0.704 0.000 0.049
0.845 0.000 0.605
0.197 0.500 0.669
0.426 0.500 0.209
0.500 0.500 0.500
0.574 0.500 0.791
0.803 0.500 0.331
0.053 0.500 0.136
0.947 0.500 0.864

***

Pm8Nd3Sm | the Alexandria database | PBE | relaxed; E_tot = -53.49 eV per cell
1.0
-3.308 5.742 5.844
3.308 -5.742 5.844
3.308 5.742 -5.844
Pm Nd Sm
8 3 1
direct
0.084 0.250 0.833
0.253 0.248 0.501
0.253 0.752 0.005
0.417 0.250 0.167
0.583 0.750 0.833
0.747 0.248 0.995
0.747 0.752 0.499
0.916 0.750 0.167
0.000 0.000 0.000
0.251 0.751 0.500
0.749 0.249 0.500
0.500 0.500 0.000

***

PmNd5Sm | the Alexandria database | PBE | relaxed; E_tot = -64.42 eV per cell
1.0
6.056 -3.492 0.000
6.056 3.492 0.000
-4.557 0.000 11.641
Pm Nd Sm
2 10 2
direct
0.000 0.500 0.000
0.500 0.000 0.500
0.087 0.913 0.250
0.089 0.348 0.249
0.155 0.691 0.500
0.309 0.845 0.000
0.348 0.089 0.749
0.652 0.911 0.251
0.691 0.155 0.000
0.845 0.309 0.500
0.911 0.652 0.751
0.913 0.087 0.750
0.472 0.528 0.750
0.528 0.472 0.250

***

Pm4NdSm7 | the Alexandria database | PBE | relaxed; E_tot = -56.71 eV per cell
1.0
6.351 0.000 0.000
0.003 7.335 0.000
2.114 0.007 8.812
Pm Nd Sm
4 1 7
direct
0.222 0.000 0.332
0.278 0.750 0.667
0.722 0.250 0.333
0.778 0.000 0.668
0.000 0.500 0.000
0.000 0.000 0.000
0.222 0.500 0.333
0.278 0.250 0.667
0.500 0.250 0.000
0.500 0.750 0.000
0.722 0.750 0.333
0.778 0.500 0.667

***

Pm6NdSm12 | the Alexandria database | PBE | relaxed; E_tot = -87.29 eV per cell
1.0
6.103 3.523 5.098
-6.103 3.523 5.098
0.000 -7.047 5.098
Pm Nd Sm
6 1 12
direct
0.195 0.594 0.761
0.239 0.805 0.406
0.406 0.239 0.805
0.594 0.761 0.195
0.761 0.195 0.594
0.805 0.406 0.239
0.500 0.500 0.500
0.037 0.277 0.936
0.064 0.963 0.723
0.141 0.302 0.484
0.277 0.936 0.037
0.302 0.484 0.141
0.484 0.141 0.302
0.516 0.859 0.698
0.698 0.516 0.859
0.723 0.064 0.963
0.859 0.698 0.516
0.936 0.037 0.277
0.963 0.723 0.064

***

PmNd8Sm6 | the Alexandria database | PBE | relaxed; E_tot = -69.03 eV per cell
1.0
4.720 2.725 6.807
-4.720 2.725 6.807
0.000 -5.450 6.807
Pm Nd Sm
1 8 6
direct
0.000 0.000 0.000
0.084 0.661 0.771
0.229 0.916 0.339
0.339 0.229 0.916
0.427 0.427 0.427
0.573 0.573 0.573
0.661 0.771 0.084
0.771 0.084 0.661
0.916 0.339 0.229
0.107 0.262 0.555
0.262 0.555 0.107
0.445 0.893 0.738
0.555 0.107 0.262
0.738 0.445 0.893
0.893 0.738 0.445

***

Pm2Nd4Sm | the Alexandria database | PBE | relaxed; E_tot = -32.63 eV per cell
1.0
-1.801 2.958 11.612
1.801 -2.958 11.612
1.801 2.958 -11.612
Pm Nd Sm
2 4 1
direct
0.224 0.224 0.000
0.776 0.776 0.000
0.084 0.584 0.500
0.363 0.863 0.500
0.637 0.137 0.500
0.916 0.416 0.500
0.500 0.500 0.000

***

PmNd8Sm6 | the Alexandria database | PBE | relaxed; E_tot = -69.10 eV per cell
1.0
4.938 2.851 6.160
-4.938 2.851 6.160
0.000 -5.702 6.160
Pm Nd Sm
1 8 6
direct
0.000 0.000 0.000
0.052 0.373 0.865
0.135 0.948 0.627
0.239 0.239 0.239
0.373 0.865 0.052
0.627 0.135 0.948
0.761 0.761 0.761
0.865 0.052 0.373
0.948 0.627 0.135
0.172 0.617 0.436
0.383 0.564 0.828
0.436 0.172 0.617
0.564 0.828 0.383
0.617 0.436 0.172
0.828 0.383 0.564

***

Pm4NdSm7 | the Alexandria database | PBE | relaxed; E_tot = -54.34 eV per cell
1.0
8.167 -3.018 0.000
8.167 3.018 0.000
-4.144 0.000 8.467
Pm Nd Sm
4 1 7
direct
0.074 0.074 0.199
0.173 0.173 0.889
0.827 0.827 0.111
0.926 0.926 0.801
0.500 0.500 0.500
0.000 0.000 0.500
0.286 0.286 0.621
0.292 0.292 0.272
0.418 0.418 0.058
0.582 0.582 0.942
0.708 0.708 0.728
0.714 0.714 0.379

***

no.,E_form (eV/atom)
1,0.138
2,0.011
3,0.044
4,0.090
5,0.294
6,0.157
7,0.008
8,0.137
9,0.145
10,0.094
11,0.141
12,0.205